(1)
# AcPrZnIr | Alexandria via LeMat-Bulk | PBE-GGA | relaxed
# VASP energy = -5.143 eV per atom
# energy relative to the lowest polymorph listed for this composition = 1.41 kcal/mol of atoms
# energy of formation from the pure elements = -0.387 eV/atom
# Fermi-level density of states = 0.42 states/eV per atom
# total magnetic moment = 0.000 μB/f.u.
data_AcPrZnIr
_chemical_formula_sum 'Ac4 Pr4 Zn4 Ir4'
_cell_length_a 7.432
_cell_length_b 7.432
_cell_length_c 7.432
_cell_angle_alpha 90.00
_cell_angle_beta 90.00
_cell_angle_gamma 90.00
_symmetry_space_group_name_H-M 'F -4 3 m'
_symmetry_Int_Tables_number 216
_symmetry_space_group_name_Hall 'F -4 2 3'
loop_
_atom_site_label
_atom_site_type_symbol
_atom_site_fract_x
_atom_site_fract_y
_atom_site_fract_z
Ac1 Ac 0.000 0.000 0.000
Pr1 Pr 0.000 0.000 0.500
Zn1 Zn 0.250 0.250 0.750
Ir1 Ir 0.250 0.250 0.250

(2)
# Ac8IrPt4 | Alexandria via LeMat-Bulk | PBE-GGA | relaxed
# VASP energy = -5.944 eV per atom
# energy of formation from the pure elements = -0.876 eV/atom
# Fermi-level density of states = 0.73 states/eV per atom
# total magnetic moment = 0.000 μB/f.u.
data_Ac8IrPt4
_chemical_formula_sum 'Ac24 Ir3 Pt12'
_cell_length_a 8.8165
_cell_length_b 8.8165
_cell_length_c 21.0779
_cell_angle_alpha 90.00
_cell_angle_beta 90.00
_cell_angle_gamma 120.00
_symmetry_space_group_name_H-M 'R -3 m'
_symmetry_Int_Tables_number 166
_symmetry_space_group_name_Hall '-R 3 2"'
loop_
_atom_site_label
_atom_site_type_symbol
_atom_site_fract_x
_atom_site_fract_y
_atom_site_fract_z
Ac1 Ac 0.0000 0.0000 0.2433
Ac2 Ac 0.0110 0.5055 0.7519
Ir1 Ir 0.0000 0.0000 0.0000
Pt1 Pt 0.0000 0.0000 0.5000
Pt2 Pt 0.0000 0.5000 0.5000

(3)
# Ac8IrPt6 | Alexandria via LeMat-Bulk | PBE-GGA | relaxed
# VASP energy = -6.079 eV per atom
# energy of formation from the pure elements = -0.881 eV/atom
# Fermi-level density of states = 0.68 states/eV per atom
# total magnetic moment = 0.000 μB/f.u.
data_Ac8IrPt6
_chemical_formula_sum 'Ac8 Ir1 Pt6'
_cell_length_a 10.1170
_cell_length_b 10.1170
_cell_length_c 4.9985
_cell_angle_alpha 90.00
_cell_angle_beta 90.00
_cell_angle_gamma 120.00
_symmetry_space_group_name_H-M 'P -3'
_symmetry_Int_Tables_number 147
loop_
_symmetry_equiv_pos_as_xyz
'x,y,z'
'-x,-y,-z'
'-y,x-y,z'
'y,-x+y,-z'
'-x+y,-x,z'
'x-y,x,-z'
loop_
_atom_site_label
_atom_site_type_symbol
_atom_site_fract_x
_atom_site_fract_y
_atom_site_fract_z
Ac1 Ac 0.0580 0.7571 0.2521
Ac2 Ac 0.3333 0.6667 0.7513
Ir1 Ir 0.0000 0.0000 0.5000
Pt1 Pt 0.0522 0.4535 0.2515